Entry 1:
Material: Mg2ZrNbN4
Method: DFT, PBE
State: optimized geometry

The structure in CIF format:
```
data_Mg2ZrNbN4
_chemical_formula_sum 'Mg2 Zr1 Nb1 N4'
_cell_length_a 5.472
_cell_length_b 3.152
_cell_length_c 5.487
_cell_angle_alpha 90.00
_cell_angle_beta 109.30
_cell_angle_gamma 90.00
_symmetry_space_group_name_H-M 'P 1 2/m 1'
_symmetry_Int_Tables_number 10
loop_
_symmetry_equiv_pos_as_xyz
'x,y,z'
'-x,-y,-z'
'-x,y,-z'
'x,-y,z'
loop_
_atom_site_label
_atom_site_type_symbol
_atom_site_fract_x
_atom_site_fract_y
_atom_site_fract_z
Mg1 Mg 0.000 0.000 0.000
Mg2 Mg 0.500 0.500 0.000
Zr1 Zr 0.000 0.500 0.500
Nb1 Nb 0.500 0.000 0.500
N1 N 0.255 0.000 0.743
N2 N 0.258 0.500 0.256
```

Properties
**Formation energy (no corrections)**: -1.145 eV per atom
**Calculated volume**: 11.16 Å³ per atom
**Uncorrected energy**: -0.2952 hartree per atom


Entry 2:
Material: Mg2ZrNb3N6
Method: DFT, PBE
State: optimized geometry

The structure in CIF format:
```
data_Mg2ZrNb3N6
_chemical_formula_sum 'Mg4 Zr2 Nb6 N12'
_cell_length_a 5.382
_cell_length_b 9.350
_cell_length_c 5.530
_cell_angle_alpha 90.00
_cell_angle_beta 108.74
_cell_angle_gamma 90.00
_symmetry_space_group_name_H-M 'C 1 2/m 1'
_symmetry_Int_Tables_number 12
loop_
_symmetry_equiv_pos_as_xyz
'x,y,z'
'-x,-y,-z'
'-x,y,-z'
'x,-y,z'
'x+1/2,y+1/2,z'
'-x+1/2,-y+1/2,-z'
'-x+1/2,y+1/2,-z'
'x+1/2,-y+1/2,z'
loop_
_atom_site_label
_atom_site_type_symbol
_atom_site_fract_x
_atom_site_fract_y
_atom_site_fract_z
Mg1 Mg 0.000 0.165 0.000
Zr1 Zr 0.000 0.500 0.000
Nb1 Nb 0.000 0.000 0.500
Nb2 Nb 0.000 0.320 0.500
N1 N 0.248 0.000 0.260
N2 N 0.249 0.170 0.755
```

Properties
**Formation energy (no corrections)**: -1.146 eV per atom
**Calculated volume**: 10.98 Å³ per atom
**Uncorrected energy**: -0.3236 hartree per atom